Entry 1:
# LaTiMnV2, relaxed, DFT PBE
# DFT formation energy (kJ/mol of atoms): 37.4
data_LaTiMnV2
_cell_length_a 4.629
_cell_length_b 4.629
_cell_length_c 4.549
_cell_angle_alpha 90.00
_cell_angle_beta 90.00
_cell_angle_gamma 90.00
_space_group_name_H-M_alt 'P 4/m m m'
_space_group_IT_number 123
_space_group_name_Hall '-P 4 2'
loop_
_atom_site_label
_atom_site_type_symbol
_atom_site_fract_x
_atom_site_fract_y
_atom_site_fract_z
_atom_site_occupancy
La1 La 0.000 0.000 0.000 1
Ti1 Ti 0.500 0.500 0.000 1
Mn1 Mn 0.500 0.500 0.500 1
V1 V 0.000 0.500 0.500 1

=====

Entry 2:
# Tm8NiIr2, relaxed, DFT PBE
# DFT formation energy (kJ/mol of atoms): -39.9
data_Tm8NiIr2
_cell_length_a 8.356
_cell_length_b 12.250
_cell_length_c 5.800
_cell_angle_alpha 90.00
_cell_angle_beta 108.51
_cell_angle_gamma 90.00
_space_group_name_H-M_alt 'C 1 m 1'
_space_group_IT_number 8
_space_group_name_Hall 'C -2y'
loop_
_atom_site_label
_atom_site_type_symbol
_atom_site_fract_x
_atom_site_fract_y
_atom_site_fract_z
_atom_site_occupancy
Tm1 Tm 0.000 0.000 0.000 1
Tm2 Tm 0.061 0.369 0.794 1
Tm3 Tm 0.149 0.131 0.591 1
Tm4 Tm 0.219 0.500 0.373 1
Tm5 Tm 0.360 0.215 0.184 1
Ni1 Ni 0.360 0.000 0.014 1
Ir1 Ir 0.354 0.313 0.687 1

=====

Entry 3:
# MgTl4In, relaxed, DFT PBE
# DFT formation energy (kJ/mol of atoms): 3.4
data_MgTl4In
_cell_length_a 5.832
_cell_length_b 6.881
_cell_length_c 8.781
_cell_angle_alpha 90.00
_cell_angle_beta 99.48
_cell_angle_gamma 90.00
_space_group_name_H-M_alt 'P 1 21/m 1'
_space_group_IT_number 11
_space_group_name_Hall '-P 2yb'
loop_
_atom_site_label
_atom_site_type_symbol
_atom_site_fract_x
_atom_site_fract_y
_atom_site_fract_z
_atom_site_occupancy
Mg1 Mg 0.134 0.250 0.451 1
Tl1 Tl 0.230 0.012 0.768 1
Tl2 Tl 0.230 0.750 0.083 1
Tl3 Tl 0.347 0.750 0.449 1
In1 In 0.290 0.250 0.134 1

=====

Entry 4:
# HfNb2In, relaxed, DFT PBE
# DFT formation energy (kJ/mol of atoms): 58.9
data_HfNb2In
_cell_length_a 7.733
_cell_length_b 7.733
_cell_length_c 5.745
_cell_angle_alpha 90.00
_cell_angle_beta 90.00
_cell_angle_gamma 90.00
_space_group_name_H-M_alt 'I -4 2 d'
_space_group_IT_number 122
_space_group_name_Hall 'I -4 2bw'
loop_
_atom_site_label
_atom_site_type_symbol
_atom_site_fract_x
_atom_site_fract_y
_atom_site_fract_z
_atom_site_occupancy
Hf1 Hf 0.000 0.000 0.000 1
Nb1 Nb 0.244 0.250 0.625 1
In1 In 0.000 0.000 0.500 1

=====

Entry 5:
# Np3InS6, relaxed, DFT PBE
# E_form (uncorrected) (eV/atom): -1.1040
data_Np3InS6
_cell_length_a 10.578
_cell_length_b 12.574
_cell_length_c 6.892
_cell_angle_alpha 90.00
_cell_angle_beta 90.00
_cell_angle_gamma 90.00
_space_group_name_H-M_alt 'C m c 21'
_space_group_IT_number 36
_space_group_name_Hall 'C 2c -2'
loop_
_atom_site_label
_atom_site_type_symbol
_atom_site_fract_x
_atom_site_fract_y
_atom_site_fract_z
_atom_site_occupancy
Np1 Np 0.000 0.101 0.000 1
Np2 Np 0.184 0.401 0.087 1
In1 In 0.000 0.257 0.609 1
S1 S 0.000 0.280 0.225 1
S2 S 0.000 0.454 0.784 1
S3 S 0.158 0.035 0.290 1
S4 S 0.212 0.219 0.886 1

=====

Entry 6:
# Zr3BiCl, relaxed, DFT PBE
# E_form (uncorrected) (eV/atom): 1.1146
data_Zr3BiCl
_cell_length_a 5.556
_cell_length_b 5.556
_cell_length_c 5.556
_cell_angle_alpha 90.00
_cell_angle_beta 90.00
_cell_angle_gamma 90.00
_space_group_name_H-M_alt 'P m -3 m'
_space_group_IT_number 221
_space_group_name_Hall '-P 4 2 3'
loop_
_atom_site_label
_atom_site_type_symbol
_atom_site_fract_x
_atom_site_fract_y
_atom_site_fract_z
_atom_site_occupancy
Zr1 Zr 0.000 0.000 0.500 1
Bi1 Bi 0.000 0.000 0.000 1
Cl1 Cl 0.500 0.500 0.500 1

=====

Volume, record by record: 19.5; 25.6; 29.0; 21.5; 22.9; 34.3 A^3/atom